VASP calculation (PBE-GGA) on a relaxed structure of SrTl3O5.

abc: 6.0405 6.0405 14.1182
angles: 90.00 90.00 146.36
With the nearest neighbours (Å) after each atom.
Atoms (fractional coordinates):
O 0.6451 0.3549 0.5451  5 Tl 2.42-2.51
Sr 0.5244 0.4756 0.7500  6 O 2.48-2.67
O 0.9112 0.0888 0.8582  3 Tl 2.25-2.43
O 0.9112 0.0888 0.6418  3 Tl 2.25-2.43
O 0.0888 0.9112 0.1418  3 Tl 2.25-2.43
Tl 0.2706 0.7294 0.8885  6 O 2.24-2.46
O 0.1768 0.8232 0.7500  2 Tl 2.24, 2 Sr 2.48
Tl 0.7294 0.2706 0.3885  6 O 2.24-2.46
O 0.3549 0.6451 0.0451  5 Tl 2.42-2.51
O 0.6451 0.3549 0.9549  5 Tl 2.42-2.51
O 0.8232 0.1768 0.2500  2 Tl 2.24, 2 Sr 2.48
Tl 0.0000 0.0000 0.0000  6 O 2.25-2.51
O 0.3549 0.6451 0.4549  5 Tl 2.42-2.51
Tl 0.7294 0.2706 0.1115  6 O 2.24-2.46
Tl 0.0000 0.0000 0.5000  6 O 2.25-2.51
Tl 0.2706 0.7294 0.6115  6 O 2.24-2.46
O 0.0888 0.9112 0.3582  3 Tl 2.25-2.43
Sr 0.4756 0.5244 0.2500  6 O 2.48-2.67

Output
* mass density: 9.086 Mg/m³
* raw formation energy: -1.116 eV per atom